Entry 1:
Material: Ba2VIrRh
Method: DFT, PBE
State: relaxed

```
5
Lattice="-4.869 1.505 3.132 1.369 -2.579 3.367 2.949 4.641 2.355" Properties=species:S:1:pos:R:3 pbc="T T T"
Rh -0.276 1.784 4.427
Ir 0.684 -1.289 1.683
Ba 1.475 2.321 1.178
Ba -2.435 0.752 1.566
V 0.000 0.000 0.000
```

Output
Symmetry   P4/mmm
Crystal system   tetragonal
Calculated formation energy   879 meV/atom

Entry 2:
Material: Ba2Zn6IrRh
Method: DFT, PBE
State: relaxed

```
10
Lattice="6.992 0.001 -0.158 -0.002 6.782 0.002 3.382 3.386 4.795" Properties=species:S:1:pos:R:3 pbc="T T T"
Zn 6.481 6.778 2.272
Zn 5.363 8.720 4.444
Zn 5.009 1.449 0.195
Zn 5.363 4.836 4.440
Rh 0.000 0.000 0.000
Ba 7.446 3.387 1.898
Zn 3.891 3.391 2.367
Ir 3.495 3.391 -0.078
Ba 2.926 6.781 2.741
Zn 5.009 5.333 0.199
```

Output
Symmetry   C2/m
Crystal system   monoclinic
Calculated formation energy   -349 meV/atom

Entry 3:
Material: BaZnIrRh
Method: DFT, PBE
State: relaxed

```
4
Lattice="4.437 0.000 0.000 -2.219 3.859 0.003 0.000 -2.549 5.594" Properties=species:S:1:pos:R:3 pbc="T T T"
Rh 0.000 0.931 5.262
Ir 0.000 -1.618 5.428
Ba 2.219 -0.353 2.798
Zn 2.219 2.209 0.321
```

Output
Symmetry   Cm
Crystal system   monoclinic
Calculated formation energy   -238 meV/atom

Entry 4:
Material: BaZn3IrRh
Method: DFT, PBE
State: relaxed

```
12
Lattice="-1.924 -4.862 -3.481 7.441 -1.722 -1.708 -3.464 -2.382 5.241" Properties=species:S:1:pos:R:3 pbc="T T T"
Zn -0.353 -2.835 1.321
Ir 2.520 -7.567 0.676
Zn 1.865 -0.432 -0.428
Ba -1.314 -5.277 -0.404
Rh -0.239 -4.267 3.259
Ir -0.466 -1.398 -0.623
Zn 0.903 -2.863 -2.168
Ba 3.367 -3.688 0.457
Zn 5.576 -1.290 -1.280
Zn 2.406 -6.130 -1.268
Rh 2.293 -4.698 -3.206
Zn 4.614 -3.721 -3.020
```

Output
Symmetry   Cmcm
Crystal system   orthorhombic
Calculated formation energy   -152 meV/atom

Entry 5:
Material: Ba4IrRu
Method: DFT, PBE
State: relaxed

```
6
Lattice="4.856 -4.508 0.423 -0.639 -5.864 -3.047 3.708 -1.394 -5.328" Properties=species:S:1:pos:R:3 pbc="T T T"
Ir 5.943 -8.824 -5.964
Ba 2.974 -4.415 -2.984
Ru 0.000 0.000 0.000
Ba 5.397 -6.664 -2.774
Ba 2.655 -7.341 -4.505
Ba 4.824 -5.111 -5.642
```

Output
Symmetry   F-43m
Crystal system   cubic
Calculated formation energy   1384 meV/atom

Entry 6:
Material: BaIr2Ru
Method: DFT, PBE
State: relaxed

```
4
Lattice="-0.956 -3.701 -3.414 0.863 -4.484 2.327 -2.850 4.006 1.449" Properties=species:S:1:pos:R:3 pbc="T T T"
Ba -1.927 -1.894 -1.254
Ir -0.047 -4.093 -0.543
Ru -1.017 -2.286 1.616
Ir 0.000 0.000 0.000
```

Output
Symmetry   I4/mmm
Crystal system   tetragonal
Calculated formation energy   1021 meV/atom